[1]
PI (GGA-PBE, optimized geometry); space group = No. 217; excess energy over the best structure of this formula in the dataset = 321 meV per atom
1.0
-7.641 4.316 0.442
-4.264 -7.304 -2.381
-0.802 -2.285 8.446
I P
8 8
Direct
0.770 0.230 0.230
0.730 0.730 0.270
0.270 0.270 0.270
0.770 0.770 0.770
0.270 0.730 0.730
0.230 0.230 0.770
0.230 0.770 0.230
0.730 0.270 0.730
0.408 0.592 0.408
0.092 0.092 0.092
0.908 0.908 0.092
0.908 0.092 0.908
0.592 0.592 0.592
0.408 0.408 0.592
0.592 0.408 0.408
0.092 0.908 0.908

=====

[2]
PI (GGA-PBE, optimized geometry); space group = No. 11; excess energy over the best structure of this formula in the dataset = 101 meV per atom
1.0
5.977 0.000 -1.729
0.000 3.689 0.000
-4.165 0.000 7.911
I P
2 2
Direct
0.403 0.250 0.218
0.597 0.750 0.782
0.936 0.250 0.547
0.064 0.750 0.453

=====

no.,uncorrected energy (eV/cell)
1,-49.94
2,-13.36